Entry 1:
# GGA-PBE TaTeP2, optimized geometry
# - Formation energy without anion corrections: -74.8 kJ/mol of formula units
# - Symmetry: No. 8
data_TaTeP2
_cell_length_a 4.507
_cell_length_b 4.507
_cell_length_c 6.073
_cell_angle_alpha 85.74
_cell_angle_beta 85.74
_cell_angle_gamma 45.79
_symmetry_space_group_name_H-M 'P 1'
_symmetry_Int_Tables_number 1
loop_
_symmetry_equiv_pos_as_xyz
'x,y,z'
loop_
_atom_site_label
_atom_site_fract_x
_atom_site_fract_y
_atom_site_fract_z
P1 0.994 0.994 0.906
P2 0.796 0.796 0.687
Ta1 0.504 0.504 0.604
Te1 0.206 0.206 0.302

=====

Entry 2:
# GGA-PBE AlPCl2, optimized geometry
# - Formation energy without anion corrections: 139.2 kJ/mol of formula units
# - Symmetry: No. 216
# - Energy above the lowest structure with this stoichiometry: 1006 meV per atom
data_AlPCl2
_cell_length_a 4.700
_cell_length_b 4.700
_cell_length_c 4.700
_cell_angle_alpha 60.00
_cell_angle_beta 60.00
_cell_angle_gamma 60.00
_symmetry_space_group_name_H-M 'P 1'
_symmetry_Int_Tables_number 1
loop_
_symmetry_equiv_pos_as_xyz
'x,y,z'
loop_
_atom_site_label
_atom_site_fract_x
_atom_site_fract_y
_atom_site_fract_z
P1 0.750 0.750 0.750
Al1 0.500 0.500 0.500
Cl1 0.000 0.000 0.000
Cl2 0.250 0.250 0.250

=====

Entry 3:
# GGA-PBE Pm2ZnAg, optimized geometry
# - ΔH_f (0 K): -1.2 eV per formula unit
# - Symmetry: No. 123
# - Energy above the lowest structure with this stoichiometry: 0 meV per atom
data_Pm2ZnAg
_cell_length_a 3.716
_cell_length_b 3.716
_cell_length_c 7.289
_cell_angle_alpha 90.00
_cell_angle_beta 90.00
_cell_angle_gamma 90.00
_symmetry_space_group_name_H-M 'P 1'
_symmetry_Int_Tables_number 1
loop_
_symmetry_equiv_pos_as_xyz
'x,y,z'
loop_
_atom_site_label
_atom_site_fract_x
_atom_site_fract_y
_atom_site_fract_z
Zn1 0.500 0.500 0.000
Ag1 0.500 0.500 0.500
Pm1 0.000 0.000 0.758
Pm2 0.000 0.000 0.242

=====

Entry 4:
# GGA-PBE PaMnFeOs, optimized geometry
# - ΔH_f (0 K): 0.3 eV per formula unit
# - Symmetry: No. 216
data_PaMnFeOs
_cell_length_a 4.539
_cell_length_b 4.539
_cell_length_c 4.539
_cell_angle_alpha 60.00
_cell_angle_beta 60.00
_cell_angle_gamma 60.00
_symmetry_space_group_name_H-M 'P 1'
_symmetry_Int_Tables_number 1
loop_
_symmetry_equiv_pos_as_xyz
'x,y,z'
loop_
_atom_site_label
_atom_site_fract_x
_atom_site_fract_y
_atom_site_fract_z
Pa1 0.500 0.500 0.500
Os1 0.250 0.250 0.250
Fe1 0.750 0.750 0.750
Mn1 0.000 0.000 0.000

=====

Entry 5:
# GGA-PBE VSb3I, optimized geometry
# - Formation energy without anion corrections: 715.6 kJ/mol of formula units
# - Symmetry: No. 221
# - Energy above the lowest structure with this stoichiometry: 1343 meV per atom
data_VSb3I
_cell_length_a 5.717
_cell_length_b 5.717
_cell_length_c 5.717
_cell_angle_alpha 90.00
_cell_angle_beta 90.00
_cell_angle_gamma 90.00
_symmetry_space_group_name_H-M 'P 1'
_symmetry_Int_Tables_number 1
loop_
_symmetry_equiv_pos_as_xyz
'x,y,z'
loop_
_atom_site_label
_atom_site_fract_x
_atom_site_fract_y
_atom_site_fract_z
I1 0.000 0.000 0.000
Sb1 0.000 0.500 0.000
Sb2 0.000 0.000 0.500
Sb3 0.500 0.000 0.000
V1 0.500 0.500 0.500